[1]
A relaxed structure of Ho3Er2Th4. Source: Alexandria via LeMat-Bulk, functional PBE.

Cell lengths 5.023, 7.925, 7.944 Å; angles 107.34, 108.43, 90.00 degrees
Fractional positions:
Ho 0.111 0.665 0.221
Ho 0.000 0.000 0.000
Ho 0.889 0.335 0.779
Th 0.558 0.334 0.117
Th 0.442 0.666 0.883
Th 0.221 0.335 0.442
Th 0.779 0.665 0.558
Er 0.333 0.998 0.666
Er 0.667 0.002 0.334

VASP energy = -5.795 eV/atom
mass density = 10.2 g/cm3
energy relative to the lowest polymorph listed for this composition = 0.0 meV per atom
DOS at the Fermi energy = 1.53 states/eV per atom

***

[2]
A relaxed structure of BC2. Source: Alexandria via LeMat-Bulk, functional PBE.

Cell lengths 2.561, 2.561, 13.389 Å; angles 90.00, 90.00, 120.00 degrees
Fractional positions:
C 0.333 0.667 0.659
C 0.667 0.333 0.697
C 0.667 0.333 0.222
C 0.667 0.333 0.334
C 0.000 0.000 0.012
C 0.333 0.667 0.050
C 0.000 0.000 0.375
C 0.000 0.000 0.487
B 0.333 0.667 0.538
B 0.667 0.333 0.815
B 0.333 0.667 0.171
B 0.000 0.000 0.894

VASP energy = -8.044 eV/atom
mass density = 3.0 g/cm3
energy relative to the lowest polymorph listed for this composition = 91.2 meV per atom
DOS at the Fermi energy = 0.26 states/eV per atom

***

[3]
A relaxed structure of MnSeCl. Source: Alexandria via LeMat-Bulk, functional PBE.

Cell lengths 4.635, 4.635, 4.635 Å; angles 60.00, 60.00, 60.00 degrees
Each line ends with the local moment (μB).
Fractional positions:
Mn 0.500 0.500 0.500  4.25
Se 0.250 0.250 0.250  -0.28
Cl 0.000 0.000 0.000  -0.17

E_form (uncorrected) = 253 meV per atom
VASP energy = -4.581 eV/atom
mass density = 4.0 g/cm3
DOS at the Fermi energy = 0.89 states/eV per atom

***

[4]
A relaxed structure of Y12Tm7Cd. Source: Alexandria via LeMat-Bulk, functional PBE.

Cell lengths 8.705, 8.705, 8.705 Å; angles 100.31, 100.31, 100.31 degrees
Fractional positions:
Y 0.654 0.917 0.655
Y 0.346 0.083 0.345
Y 0.345 0.346 0.083
Y 0.917 0.655 0.654
Y 0.500 0.239 0.761
Y 0.761 0.500 0.239
Y 0.083 0.345 0.346
Y 0.239 0.761 0.500
Y 0.761 0.239 0.500
Y 0.655 0.654 0.917
Y 0.500 0.761 0.239
Y 0.239 0.500 0.761
Tm 0.905 0.325 0.905
Tm 0.095 0.095 0.675
Tm 0.325 0.905 0.905
Tm 0.675 0.095 0.095
Tm 0.095 0.675 0.095
Tm 0.500 0.500 0.500
Tm 0.905 0.905 0.325
Cd 0.000 0.000 0.000

VASP energy = -5.428 eV/atom
mass density = 6.3 g/cm3
DOS at the Fermi energy = 1.91 states/eV per atom

***

[5]
A relaxed structure of La3PbN. Source: Alexandria via LeMat-Bulk, functional PBE.

Cell lengths 5.834, 6.561, 6.561 Å; angles 116.71, 90.00, 90.00 degrees
Fractional positions:
La 0.500 0.457 0.997
La 0.500 0.003 0.543
La 0.000 0.423 0.577
N 0.000 0.242 0.758
Pb 0.500 0.503 0.497

E_form (uncorrected) = 219 meV per atom
VASP energy = -5.145 eV/atom
mass density = 4.7 g/cm3
DOS at the Fermi energy = 0.87 states/eV per atom

***

[6]
A relaxed structure of LaPm8Ho5. Source: Alexandria via LeMat-Bulk, functional PBE.

Cell lengths 8.561, 8.561, 8.561 Å; angles 111.85, 104.81, 111.85 degrees
Fractional positions:
Ho 0.500 0.000 0.500
Ho 0.866 0.906 0.183
Ho 0.040 0.317 0.134
Ho 0.277 0.094 0.960
Ho 0.817 0.683 0.723
La 0.250 0.500 0.750
Pm 0.720 0.253 0.324
Pm 0.676 0.395 0.929
Pm 0.533 0.605 0.280
Pm 0.339 0.264 0.429
Pm 0.571 0.909 0.835
Pm 0.926 0.091 0.661
Pm 0.071 0.747 0.467
Pm 0.165 0.736 0.074

VASP energy = -4.470 eV/atom
mass density = 7.3 g/cm3
DOS at the Fermi energy = 1.50 states/eV per atom